Entry 1:
Dy6SnS5 | PBE | optimized geometry

The structure in extended XYZ format:
```
12
Lattice="3.458 -5.990 0.000 3.458 5.990 0.000 -2.311 0.000 6.547" Properties=species:S:1:pos:R:3 pbc="T T T"
Dy -0.048 2.074 4.840
Dy 1.060 0.000 1.690
Dy -0.048 -2.074 4.840
Dy 4.652 2.074 1.708
Dy 3.545 0.000 4.857
Dy 4.652 -2.074 1.708
Sn 3.458 0.000 0.000
S -1.156 0.000 3.274
S 3.458 3.978 0.000
S 2.302 1.939 3.274
S 2.302 -1.939 3.274
S 3.458 -3.978 0.000
```

Properties
- Uncorrected energy: -6.103 eV per atom
- ΔE_f (raw): -1.7483 eV per atom



Entry 2:
CeHo2In9 | PBE | optimized geometry

The structure in extended XYZ format:
```
12
Lattice="4.656 0.000 0.000 0.000 4.656 0.000 0.000 0.000 13.972" Properties=species:S:1:pos:R:3 pbc="T T T"
Ce 0.000 0.000 0.000
Ho 0.000 0.000 4.693
Ho 0.000 0.000 9.279
In 0.000 2.328 2.370
In 0.000 2.328 6.986
In 0.000 2.328 11.602
In 2.328 0.000 2.370
In 2.328 0.000 6.986
In 2.328 0.000 11.602
In 2.328 2.328 0.000
In 2.328 2.328 4.659
In 2.328 2.328 9.313
```

Properties
- Uncorrected energy: -3.717 eV per atom
- Energy of formation: -406 meV/atom



Entry 3:
PmLuCoSn | PBE | optimized geometry

The structure in extended XYZ format:
```
4
Lattice="0.000 3.605 3.605 3.605 0.000 3.605 3.605 3.605 0.000" Properties=species:S:1:pos:R:3 pbc="T T T"
Pm 0.000 0.000 0.000
Lu 3.605 3.605 3.605
Co 5.408 5.408 5.408
Sn 1.803 1.803 1.803
```

Properties
- Uncorrected energy: -5.367 eV per atom
- Energy of formation: -272 meV/atom



Entry 4:
SmCd2In3 | PBE | optimized geometry

The structure in extended XYZ format:
```
6
Lattice="2.317 -6.986 0.000 2.317 6.986 0.000 0.000 0.000 4.620" Properties=species:S:1:pos:R:3 pbc="T T T"
Sm 0.000 0.000 0.000
Cd 2.317 2.428 0.000
Cd 2.317 -2.428 0.000
In 2.317 4.607 2.310
In 2.317 0.000 2.310
In 2.317 -4.607 2.310
```

Properties
- Uncorrected energy: -2.714 eV per atom
- Energy of formation: -254 meV/atom



Entry 5:
Ga2Hg8Pb | PBE | optimized geometry

The structure in extended XYZ format:
```
11
Lattice="3.222 -8.655 0.000 3.222 8.655 0.000 -0.585 0.000 5.594" Properties=species:S:1:pos:R:3 pbc="T T T"
Ga 3.222 4.532 0.000
Ga 3.222 -4.532 0.000
Hg 0.191 0.000 4.242
Hg 1.832 2.081 0.821
Hg 2.929 4.893 2.797
Hg 1.832 -2.081 0.821
Hg 4.026 2.081 4.773
Hg 2.929 -4.893 2.797
Hg 4.026 -2.081 4.773
Hg 5.668 0.000 1.352
Pb 2.929 0.000 2.797
```

Properties
- Uncorrected energy: -1.045 eV per atom
- Energy of formation: 62 meV/atom



Entry 6:
Tb3Tm6Tl | PBE | optimized geometry

The structure in extended XYZ format:
```
20
Lattice="12.605 0.000 0.000 0.000 3.469 0.000 -2.650 0.000 13.844" Properties=species:S:1:pos:R:3 pbc="T T T"
Tb 0.686 0.867 1.380
Tb 3.350 2.602 6.861
Tb 2.934 0.867 12.499
Tb 7.021 2.602 1.345
Tb 6.605 0.867 6.983
Tb 9.270 2.602 12.464
Tm 0.204 0.867 6.439
Tm -0.027 2.602 12.777
Tm 2.102 2.602 3.932
Tm 1.285 2.602 9.548
Tm 4.007 0.867 1.626
Tm 4.337 0.867 9.558
Tm 5.618 2.602 4.286
Tm 5.948 2.602 12.217
Tm 8.670 0.867 4.296
Tm 7.853 0.867 9.912
Tm 9.982 0.867 1.066
Tm 9.751 2.602 7.405
Tl -1.481 0.867 10.010
Tl 11.436 2.602 3.834
```

Properties
- Uncorrected energy: -4.288 eV per atom
- Energy of formation: 20 meV/atom



Entry 7:
InBiH | PBE | optimized geometry

The structure in extended XYZ format:
```
6
Lattice="4.378 0.000 0.000 0.000 6.199 0.000 -0.240 0.000 5.330" Properties=species:S:1:pos:R:3 pbc="T T T"
In 0.960 0.000 1.356
In 3.178 0.000 3.974
Bi 1.093 3.099 1.058
Bi 3.045 3.099 4.273
H 0.984 0.000 3.347
H 3.154 0.000 1.983
```

Properties
- Uncorrected energy: -3.130 eV per atom



Entry 8:
Y4PPtS2 | PBE | optimized geometry

The structure in extended XYZ format:
```
8
Lattice="6.933 0.000 0.000 0.000 3.962 0.000 -2.260 0.000 6.610" Properties=species:S:1:pos:R:3 pbc="T T T"
Y 1.141 0.000 1.627
Y 0.021 1.981 4.965
Y 4.652 1.981 1.644
Y 3.532 0.000 4.983
P 0.000 1.981 0.000
Pt 3.467 0.000 0.000
S -1.130 0.000 3.305
S 2.337 1.981 3.305
```

Properties
- Uncorrected energy: -7.367 eV per atom
- ΔE_f (raw): -1.6720 eV per atom



Entry 9:
RbSn4Pb8 | PBE | optimized geometry

The structure in extended XYZ format:
```
13
Lattice="3.562 2.056 10.452 -3.562 2.056 10.452 0.000 -4.113 10.452" Properties=species:S:1:pos:R:3 pbc="T T T"
Rb 0.000 0.000 0.000
Sn -1.781 -1.028 10.452
Sn -1.781 1.028 20.903
Sn 0.000 2.056 10.452
Sn 0.000 0.000 15.677
Pb 0.000 0.000 7.832
Pb -1.724 -0.995 18.068
Pb 0.000 -1.990 13.286
Pb -1.724 0.995 13.286
Pb 1.724 -0.995 18.068
Pb 0.000 1.990 18.068
Pb 1.724 0.995 13.286
Pb 0.000 0.000 23.523
```

Properties
- Uncorrected energy: -3.482 eV per atom
- Energy of formation: 106 meV/atom



Entry 10:
MnCu14Pd | PBE | optimized geometry

The structure in extended XYZ format:
```
16
Lattice="8.458 0.000 0.000 0.000 2.595 4.509 0.000 -2.595 4.509" Properties=species:S:1:pos:R:3 pbc="T T T"
Mn 0.000 0.000 0.000
Cu 0.000 -1.293 2.268
Cu 0.000 1.293 2.268
Cu 2.136 0.000 1.528
Cu 2.150 0.000 6.052
Cu 2.175 -1.306 3.772
Cu 2.175 1.306 3.772
Cu 4.229 0.000 3.013
Cu 4.229 -1.300 5.283
Cu 4.229 0.000 7.530
Cu 4.229 1.300 5.283
Cu 6.283 -1.306 3.772
Cu 6.283 1.306 3.772
Cu 6.307 0.000 6.052
Cu 6.322 0.000 1.528
Pd 0.000 0.000 4.519
```

Properties
- Uncorrected energy: -4.480 eV per atom
- Energy of formation: 2 meV/atom



Entry 11:
PmTmIn2O6 | PBE | optimized geometry

The structure in extended XYZ format:
```
10
Lattice="2.864 1.654 4.984 -2.864 1.654 4.984 0.000 -3.307 4.984" Properties=species:S:1:pos:R:3 pbc="T T T"
Pm 0.000 0.000 0.000
Tm 0.000 0.000 7.352
In 0.000 0.000 4.130
In 0.000 0.000 11.666
O -1.637 -0.149 5.736
O -1.146 -1.719 8.189
O 0.947 -1.343 5.736
O -0.915 1.852 8.189
O 0.690 1.492 5.736
O 2.061 -0.133 8.189
```

Properties
- Uncorrected energy: -6.956 eV per atom
- ΔE_f (raw): -2.5111 eV per atom



Entry 12:
V4Co7Si6 | PBE | optimized geometry

The structure in extended XYZ format:
```
17
Lattice="-3.695 3.695 3.695 3.695 -3.695 3.695 3.695 3.695 -3.695" Properties=species:S:1:pos:R:3 pbc="T T T"
V 1.847 1.847 -1.847
V 1.847 -1.847 1.847
V -1.847 1.847 1.847
V 1.847 1.847 1.847
Co 0.000 0.000 0.000
Co 3.695 1.847 0.000
Co 3.695 0.000 1.847
Co 1.847 3.695 0.000
Co 1.847 0.000 3.695
Co 0.000 3.695 1.847
Co 0.000 1.847 3.695
Si 2.316 0.000 0.000
Si 5.073 0.000 0.000
Si 0.000 2.316 0.000
Si 0.000 0.000 2.316
Si 0.000 5.073 0.000
Si 0.000 0.000 5.073
```

Properties
- Uncorrected energy: -7.465 eV per atom
- ΔE_f (raw): -0.4797 eV per atom



> Look up the uncorrected energy of the first one.

-6.103 eV per atom



> uncorrected energy of number 2 (CeHo2In9)?

-3.717 eV per atom



> Which value of uncorrected energy does entry 5 give?

-1.045 eV per atom



Copy entry 7 word for word.
InBiH | PBE | optimized geometry

The structure in extended XYZ format:
```
6
Lattice="4.378 0.000 0.000 0.000 6.199 0.000 -0.240 0.000 5.330" Properties=species:S:1:pos:R:3 pbc="T T T"
In 0.960 0.000 1.356
In 3.178 0.000 3.974
Bi 1.093 3.099 1.058
Bi 3.045 3.099 4.273
H 0.984 0.000 3.347
H 3.154 0.000 1.983
```

Properties
- Uncorrected energy: -3.130 eV per atom